A plane-wave DFT calculation with PBE was carried out for a geometry-optimized La2AgRhPb structure.

## Properties
Energy of formation = -0.548 eV/atom
Symmetry = P2_1/m (11)

abc: 8.3556 4.1480 8.4069
angles: 90.00 110.71 90.00
Last column: nearest neighbours and their distance in Å.
Positions (direct):
La (0.1147, 0.2500, 0.3429)  2 Rh 2.90
La (0.2870, 0.2500, 0.9977)  3 Rh 2.86-3.11
La (0.7130, 0.7500, 0.0023)  3 Rh 2.86-3.11
La (0.8853, 0.7500, 0.6571)  2 Rh 2.90
Ag (0.4397, 0.7500, 0.3561)  1 Rh 2.84, 2 Pb 3.02, 2 Ag 3.07
Ag (0.5603, 0.2500, 0.6439)  1 Rh 2.84, 2 Pb 3.02, 2 Ag 3.07
Rh (0.1091, 0.7500, 0.1007)  1 Ag 2.84, 5 La 2.86-3.11, 2 Rh 2.88
Rh (0.8909, 0.2500, 0.8993)  1 Ag 2.84, 5 La 2.86-3.11, 2 Rh 2.88
Pb (0.3129, 0.7500, 0.6800)  3 Ag 3.02-3.25
Pb (0.6871, 0.2500, 0.3200)  3 Ag 3.02-3.25


A plane-wave DFT calculation with PBE was carried out for a geometry-optimized BeCu3B structure.

## Properties
Energy of formation = 0.401 eV/atom
Symmetry = Pm-3m (221)

abc: 3.8704 3.8704 3.8704
angles: 90.00 90.00 90.00
Last column: nearest neighbours and their distance in Å.
Positions (direct):
Be (0.0000, 0.0000, 0.0000)  12 Cu 2.74
Cu (0.0000, 0.5000, 0.5000)  2 B 1.94
Cu (0.5000, 0.0000, 0.5000)  2 B 1.94
Cu (0.5000, 0.5000, 0.0000)  2 B 1.94
B (0.5000, 0.5000, 0.5000)  6 Cu 1.94


A plane-wave DFT calculation with PBE was carried out for a geometry-optimized MnBe2As structure.

## Properties
Energy of formation = 0.058 eV/atom
Symmetry = Cmmm (65)

abc: 3.5921 3.5921 3.4299
angles: 90.00 90.00 90.12
Last column: nearest neighbours and their distance in Å.
Positions (direct):
Mn (0.0000, 0.0000, 0.0000)  8 Be 2.48, 4 As 2.54
Be (0.0000, 0.5000, 0.5000)  4 Mn 2.48, 4 As 2.48, 4 Be 2.54
Be (0.5000, 0.0000, 0.5000)  4 Mn 2.48, 4 As 2.48, 4 Be 2.54
As (0.5000, 0.5000, 0.0000)  8 Be 2.48, 4 Mn 2.54


A plane-wave DFT calculation with PBE was carried out for a geometry-optimized K2TbTmSe4 structure.

## Properties
Symmetry = P2/m (10)
Uncorrected formation energy = -1.76 eV/atom

abc: 7.2693 4.1976 8.0518
angles: 90.00 107.50 90.00
Last column: nearest neighbours and their distance in Å.
Positions (direct):
K (0.0000, 0.0000, 0.0000)  6 Se 3.34
K (0.5000, 0.5000, 0.0000)  6 Se 3.31
Tb (0.0000, 0.5000, 0.5000)  6 Se 2.90-2.91
Tm (0.5000, 0.0000, 0.5000)  6 Se 2.87
Se (0.2386, 0.0000, 0.7050)  1 Tm 2.87, 2 Tb 2.90
Se (0.2693, 0.5000, 0.2966)  2 Tm 2.87, 1 Tb 2.91
Se (0.7307, 0.5000, 0.7034)  2 Tm 2.87, 1 Tb 2.91
Se (0.7614, 0.0000, 0.2950)  1 Tm 2.87, 2 Tb 2.90


Number 1: uncorrected energy -5.301 eV/atom. Number 2: uncorrected energy -4.137 eV/atom. Number 3: uncorrected energy -5.260 eV/atom. Number 4: uncorrected energy -4.913 eV/atom.